The following is a DFT calculation (PBE) of a relaxed structure of K3PuP2S8.

total moment	5.03	μB/f.u.
volume	26.5	Å³ per atom
final energy	-5.363	eV per atom

Cell and atoms, written as CIF:
```
data_K3PuP2S8
_space_group_name_H-M_alt 'P 1'
_space_group_IT_number 1
_cell_length_a 9.064
_cell_length_b 17.145
_cell_length_c 9.553
_cell_angle_alpha 90.00
_cell_angle_beta 90.27
_cell_angle_gamma 90.00
loop_
_space_group_symop_operation_xyz
'x,y,z'
loop_
_atom_site_label
_atom_site_fract_x
_atom_site_fract_y
_atom_site_fract_z
K1 0.113 0.212 0.133
K2 0.113 0.288 0.633
K3 0.233 0.031 0.513
K4 0.233 0.469 0.013
K5 0.378 0.708 0.872
K6 0.378 0.792 0.372
K7 0.622 0.208 0.628
K8 0.622 0.292 0.128
K9 0.767 0.531 0.987
K10 0.767 0.969 0.487
K11 0.887 0.712 0.367
K12 0.887 0.788 0.867
Pu1 0.279 0.511 0.472
Pu2 0.279 0.989 0.972
Pu3 0.721 0.011 0.028
Pu4 0.721 0.489 0.528
P1 0.027 0.598 0.719
P2 0.027 0.902 0.219
P3 0.499 0.102 0.242
P4 0.499 0.398 0.742
P5 0.501 0.602 0.258
P6 0.501 0.898 0.758
P7 0.973 0.098 0.781
P8 0.973 0.402 0.281
S1 0.043 0.021 0.177
S2 0.043 0.479 0.677
S3 0.066 0.626 0.921
S4 0.066 0.874 0.421
S5 0.171 0.655 0.589
S6 0.171 0.845 0.089
S7 0.187 0.128 0.833
S8 0.187 0.372 0.333
S9 0.279 0.613 0.227
S10 0.279 0.887 0.727
S11 0.382 0.177 0.362
S12 0.382 0.323 0.862
S13 0.449 0.516 0.750
S14 0.449 0.984 0.250
S15 0.467 0.123 0.030
S16 0.467 0.377 0.530
S17 0.533 0.623 0.470
S18 0.533 0.877 0.970
S19 0.551 0.016 0.750
S20 0.551 0.484 0.250
S21 0.618 0.677 0.138
S22 0.618 0.823 0.638
S23 0.721 0.113 0.273
S24 0.721 0.387 0.773
S25 0.813 0.628 0.667
S26 0.813 0.872 0.167
S27 0.829 0.155 0.911
S28 0.829 0.345 0.411
S29 0.934 0.126 0.579
S30 0.934 0.374 0.079
S31 0.957 0.521 0.323
S32 0.957 0.979 0.823
```

The following is a DFT calculation (PBE) of a relaxed structure of YHoZn2Si2.

total moment	0.00	μB/f.u.
volume	19.4	Å³ per atom
energy relative to the lowest polymorph listed for this composition	0	meV per atom

Cell and atoms, written as CIF:
```
data_YHoZn2Si2
_space_group_name_H-M_alt 'P 1'
_space_group_IT_number 1
_cell_length_a 4.141
_cell_length_b 4.141
_cell_length_c 15.695
_cell_angle_alpha 90.00
_cell_angle_beta 90.00
_cell_angle_gamma 120.00
loop_
_space_group_symop_operation_xyz
'x,y,z'
loop_
_atom_site_label
_atom_site_fract_x
_atom_site_fract_y
_atom_site_fract_z
Y1 0.000 0.000 0.000
Y2 0.000 0.000 0.500
Ho1 0.000 0.000 0.250
Ho2 0.000 0.000 0.750
Zn1 0.333 0.667 0.138
Zn2 0.333 0.667 0.362
Zn3 0.667 0.333 0.638
Zn4 0.667 0.333 0.862
Si1 0.333 0.667 0.618
Si2 0.333 0.667 0.882
Si3 0.667 0.333 0.118
Si4 0.667 0.333 0.382
```

The following is a DFT calculation (PBE) of a relaxed structure of FeMo2C.

total moment	1.19	μB/f.u.
volume	11.8	Å³ per atom
final energy	-9.706	eV per atom

Cell and atoms, written as CIF:
```
data_FeMo2C
_space_group_name_H-M_alt 'P 1'
_space_group_IT_number 1
_cell_length_a 5.442
_cell_length_b 7.123
_cell_length_c 4.854
_cell_angle_alpha 90.00
_cell_angle_beta 90.00
_cell_angle_gamma 90.00
loop_
_space_group_symop_operation_xyz
'x,y,z'
loop_
_atom_site_label
_atom_site_fract_x
_atom_site_fract_y
_atom_site_fract_z
Fe1 0.035 0.250 0.163
Fe2 0.465 0.750 0.663
Fe3 0.535 0.250 0.337
Fe4 0.965 0.750 0.837
Mo1 0.184 0.065 0.666
Mo2 0.184 0.435 0.666
Mo3 0.316 0.565 0.166
Mo4 0.316 0.935 0.166
Mo5 0.684 0.065 0.834
Mo6 0.684 0.435 0.834
Mo7 0.816 0.565 0.334
Mo8 0.816 0.935 0.334
C1 0.136 0.750 0.474
C2 0.364 0.250 0.974
C3 0.636 0.750 0.026
C4 0.864 0.250 0.526
```

The following is a DFT calculation (PBE) of a relaxed structure of SmF3.

total moment	0.00	μB/f.u.
volume	17.7	Å³ per atom
final energy	-6.521	eV per atom

Cell and atoms, written as CIF:
```
data_SmF3
_space_group_name_H-M_alt 'P 1'
_space_group_IT_number 1
_cell_length_a 5.543
_cell_length_b 5.543
_cell_length_c 9.210
_cell_angle_alpha 90.00
_cell_angle_beta 90.00
_cell_angle_gamma 90.00
loop_
_space_group_symop_operation_xyz
'x,y,z'
loop_
_atom_site_label
_atom_site_fract_x
_atom_site_fract_y
_atom_site_fract_z
Sm1 0.000 0.000 0.192
Sm2 0.000 0.000 0.808
Sm3 0.500 0.500 0.308
Sm4 0.500 0.500 0.692
F1 0.182 0.182 0.000
F2 0.219 0.219 0.341
F3 0.219 0.219 0.659
F4 0.281 0.719 0.159
F5 0.281 0.719 0.841
F6 0.318 0.682 0.500
F7 0.682 0.318 0.500
F8 0.719 0.281 0.159
F9 0.719 0.281 0.841
F10 0.781 0.781 0.341
F11 0.781 0.781 0.659
F12 0.818 0.818 0.000
```

The following is a DFT calculation (PBE) of a relaxed structure of PuZrW.

total moment	5.51	μB/f.u.
volume	21.3	Å³ per atom
energy of formation	1214	meV per atom

Cell and atoms, written as CIF:
```
data_PuZrW
_space_group_name_H-M_alt 'P 1'
_space_group_IT_number 1
_cell_length_a 4.485
_cell_length_b 4.485
_cell_length_c 4.485
_cell_angle_alpha 60.00
_cell_angle_beta 60.00
_cell_angle_gamma 60.00
loop_
_space_group_symop_operation_xyz
'x,y,z'
loop_
_atom_site_label
_atom_site_fract_x
_atom_site_fract_y
_atom_site_fract_z
Pu1 0.000 0.000 0.000
Zr1 0.250 0.250 0.250
W1 0.750 0.750 0.750
```

The following is a DFT calculation (PBE) of a relaxed structure of LiInAg2.

volume	18.3	Å³ per atom
final energy	-2.729	eV per atom

Cell and atoms, written as CIF:
```
data_LiInAg2
_space_group_name_H-M_alt 'P 1'
_space_group_IT_number 1
_cell_length_a 3.327
_cell_length_b 3.327
_cell_length_c 6.620
_cell_angle_alpha 90.00
_cell_angle_beta 90.00
_cell_angle_gamma 90.00
loop_
_space_group_symop_operation_xyz
'x,y,z'
loop_
_atom_site_label
_atom_site_fract_x
_atom_site_fract_y
_atom_site_fract_z
Li1 0.000 0.000 0.000
In1 0.000 0.000 0.500
Ag1 0.500 0.500 0.220
Ag2 0.500 0.500 0.780
```

Question: Which formula does entry 1 have?
Answer: K3PuP2S8